Entry 1:
Below is crystalline Ho3Ge4Os2 at its relaxed geometry, with properties calculated at the GGA-PBE level.

- total magnetic moment (μB/cell) = 0.02
- final energy (eV/atom) = -6.70

abc: 5.7659 5.7659 8.1214
angles: 108.39 108.39 44.42
Last column: nearest neighbours and their distance in Å.
Positions (direct):
Ho  0.0000  0.0000  0.0000  8 Ge 3.06-3.33
Ho  0.3772  0.3772  0.3023  7 Ge 2.90-3.17, 4 Os 3.01-3.17
Ho  0.6228  0.6228  0.6977  7 Ge 2.90-3.17, 4 Os 3.01-3.17
Ge  0.0907  0.0907  0.4032  3 Os 2.45-2.55
Ge  0.2868  0.2868  0.9225  1 Os 2.43
Ge  0.7132  0.7132  0.0775  1 Os 2.43
Ge  0.9093  0.9093  0.5968  3 Os 2.45-2.55
Os  0.3197  0.3197  0.6405  4 Ge 2.43-2.55
Os  0.6803  0.6803  0.3595  4 Ge 2.43-2.55

---

Entry 2:
Below is crystalline Dy3Zn3Pd2Pt at its relaxed geometry, with properties calculated at the GGA-PBE level.

- total magnetic moment (μB/cell) = 0.01
- formation enthalpy at 0 K (eV/atom) = -0.82
- final energy (eV/atom) = -4.60

abc: 7.2714 7.2714 3.8921
angles: 90.00 90.00 120.00
Last column: nearest neighbours and their distance in Å.
Positions (direct):
Dy  0.0000  0.5977  0.0000  1 Pt 2.93, 4 Pd 2.95, 6 Zn 3.18-3.22
Dy  0.4023  0.4023  0.0000  1 Pt 2.93, 4 Pd 2.95, 6 Zn 3.18-3.22
Dy  0.5977  0.0000  0.0000  1 Pt 2.93, 4 Pd 2.95, 6 Zn 3.18-3.22
Zn  0.0000  0.2510  0.5000  2 Pt 2.67, 2 Pd 2.77
Zn  0.2510  0.0000  0.5000  2 Pt 2.67, 2 Pd 2.77
Zn  0.7490  0.7490  0.5000  2 Pt 2.67, 2 Pd 2.77
Pd  0.3333  0.6667  0.5000  3 Zn 2.77, 6 Dy 2.95
Pd  0.6667  0.3333  0.5000  3 Zn 2.77, 6 Dy 2.95
Pt  0.0000  0.0000  0.0000  6 Zn 2.67, 3 Dy 2.93

---

Entry 3:
Below is crystalline GdScCCl2 at its relaxed geometry, with properties calculated at the GGA-PBE level.

- total magnetic moment (μB/cell) = 0.00
- final energy (eV/atom) = -6.26

abc: 3.6060 3.6060 9.4733
angles: 90.00 90.00 120.00
Last column: nearest neighbours and their distance in Å.
Positions (direct):
Gd  0.0000  0.0000  0.0000  3 C 2.50, 3 Cl 2.77
Sc  0.3333  0.6667  0.7243  3 C 2.42, 3 Cl 2.63
C  0.6667  0.3333  0.8539  3 Sc 2.42, 3 Gd 2.50
Cl  0.0000  0.0000  0.5548  3 Sc 2.63
Cl  0.3333  0.6667  0.1934  3 Gd 2.77

---

Entry 4:
Below is crystalline ZnFeAgAs at its relaxed geometry, with properties calculated at the GGA-PBE level.

- total magnetic moment (μB/cell) = 2.57
- final energy (eV/atom) = -3.95

abc: 4.4711 4.4711 4.4711
angles: 60.00 60.00 60.00
Last column: nearest neighbours and their distance in Å.
Positions (direct):
Zn  0.0000  0.0000  0.0000  4 Ag 2.74, 4 As 2.74
Fe  0.5000  0.5000  0.5000  4 Ag 2.74, 4 As 2.74
Ag  0.7500  0.7500  0.7500  4 Zn 2.74, 4 Fe 2.74
As  0.2500  0.2500  0.2500  4 Fe 2.74, 4 Zn 2.74